A.
A plane-wave DFT calculation with GGA-PBE was carried out for a geometry-optimized YSc3O structure.

Geometry as CIF:
```
data_YSc3O
_cell_length_a 8.731
_cell_length_b 5.751
_cell_length_c 8.447
_cell_angle_alpha 90.00
_cell_angle_beta 102.16
_cell_angle_gamma 90.00
_space_group_name_H-M_alt 'P 1 21/c 1'
_space_group_IT_number 14
loop_
_space_group_symop_operation_xyz
'x,y,z'
'-x,-y,-z'
'-x,y+1/2,-z+1/2'
'x,-y+1/2,z+1/2'
loop_
_atom_site_label
_atom_site_type_symbol
_atom_site_fract_x
_atom_site_fract_y
_atom_site_fract_z
_atom_site_occupancy
Y1 Y 0.064 0.105 0.188 1
Sc1 Sc 0.209 0.592 0.065 1
Sc2 Sc 0.333 0.075 0.942 1
Sc3 Sc 0.446 0.583 0.816 1
O1 O 0.440 0.747 0.060 1
```

Summary:
total magnetic moment	0.00	μB/cell

***

B.
A plane-wave DFT calculation with GGA-PBE was carried out for a geometry-optimized YSc3O structure.

Geometry as CIF:
```
data_YSc3O
_cell_length_a 4.649
_cell_length_b 4.649
_cell_length_c 4.649
_cell_angle_alpha 90.00
_cell_angle_beta 90.00
_cell_angle_gamma 90.00
_space_group_name_H-M_alt 'P m -3 m'
_space_group_IT_number 221
_space_group_name_Hall '-P 4 2 3'
loop_
_atom_site_label
_atom_site_type_symbol
_atom_site_fract_x
_atom_site_fract_y
_atom_site_fract_z
_atom_site_occupancy
Y1 Y 0.000 0.000 0.000 1
Sc1 Sc 0.000 0.500 0.500 1
O1 O 0.500 0.500 0.500 1
```

Summary:
total magnetic moment	0.00	μB/cell

***

C.
A plane-wave DFT calculation with GGA-PBE was carried out for a geometry-optimized YSc3O structure.

Geometry as CIF:
```
data_YSc3O
_cell_length_a 5.184
_cell_length_b 5.184
_cell_length_c 5.184
_cell_angle_alpha 90.00
_cell_angle_beta 90.00
_cell_angle_gamma 90.00
_space_group_name_H-M_alt 'P m -3 m'
_space_group_IT_number 221
_space_group_name_Hall '-P 4 2 3'
loop_
_atom_site_label
_atom_site_type_symbol
_atom_site_fract_x
_atom_site_fract_y
_atom_site_fract_z
_atom_site_occupancy
Y1 Y 0.000 0.000 0.000 1
Sc1 Sc 0.000 0.000 0.500 1
O1 O 0.500 0.500 0.500 1
```

Summary:
total magnetic moment	0.00	μB/cell

***

Least stable of them? C.

***

A.
A plane-wave DFT calculation with GGA-PBE was carried out for a geometry-optimized YScO2 structure.

Geometry as CIF:
```
data_YScO2
_cell_length_a 3.5524
_cell_length_b 3.5524
_cell_length_c 18.2879
_cell_angle_alpha 90.00
_cell_angle_beta 90.00
_cell_angle_gamma 120.00
_space_group_name_H-M_alt 'R -3 m'
_space_group_IT_number 166
_space_group_name_Hall '-R 3 2"'
loop_
_atom_site_label
_atom_site_type_symbol
_atom_site_fract_x
_atom_site_fract_y
_atom_site_fract_z
_atom_site_occupancy
Y1 Y 0.0000 0.0000 0.0000 1
Sc1 Sc 0.0000 0.0000 0.5000 1
O1 O 0.0000 0.0000 0.3901 1
```

Summary:
total magnetic moment	0.00	μB/cell

***

B.
A plane-wave DFT calculation with GGA-PBE was carried out for a geometry-optimized YScO2 structure.

Geometry as CIF:
```
data_YScO2
_cell_length_a 5.107
_cell_length_b 5.107
_cell_length_c 10.234
_cell_angle_alpha 90.00
_cell_angle_beta 90.00
_cell_angle_gamma 90.00
_space_group_name_H-M_alt 'I -4 2 d'
_space_group_IT_number 122
_space_group_name_Hall 'I -4 2bw'
loop_
_atom_site_label
_atom_site_type_symbol
_atom_site_fract_x
_atom_site_fract_y
_atom_site_fract_z
_atom_site_occupancy
Y1 Y 0.000 0.000 0.000 1
Sc1 Sc 0.000 0.000 0.500 1
O1 O 0.222 0.250 0.625 1
```

Summary:
total magnetic moment	7.55	μB/cell

***

Least stable of them? B.